# 1
The following is a DFT calculation (PBE) of a geometry-optimized ScZnPS2 structure.

Unit cell a=4.851 b=4.851 c=5.132 alpha=90.00 beta=90.00 gamma=90.00
Fractional positions:
Sc: 0.000 0.000 0.000
Zn: 0.500 0.500 0.500
P: 0.000 0.000 0.500
S: 0.000 0.500 0.000
S: 0.500 0.000 0.000

Spin magnetization in μB/atom: 0.169
Calculated volume in Å³ per cell: 121
D(E_F) in states/eV per cell: 4.93
E_form (uncorrected) in kJ/mol of formula units: 15

=====

# 2
The following is a DFT calculation (PBE) of a geometry-optimized ScZnPS2 structure.

Unit cell a=4.668 b=4.668 c=4.544 alpha=90.00 beta=90.00 gamma=90.00
Fractional positions:
Sc: 0.000 0.000 0.000
Zn: 0.500 0.500 0.500
P: 0.500 0.500 0.000
S: 0.000 0.500 0.500
S: 0.500 0.000 0.500

Spin magnetization in μB/atom: 0.000
Calculated volume in Å³ per cell: 99
D(E_F) in states/eV per cell: 4.31
E_form (uncorrected) in kJ/mol of formula units: 14

=====

# 3
The following is a DFT calculation (PBE) of a geometry-optimized Sc6ZnP2S3 structure.

Unit cell a=8.408 b=8.408 c=7.566 alpha=104.40 beta=104.40 gamma=25.47
Fractional positions:
Sc: 0.001 0.001 0.236
Sc: 0.329 0.329 0.925
Sc: 0.330 0.330 0.413
Sc: 0.670 0.670 0.587
Sc: 0.671 0.671 0.075
Sc: 0.999 0.999 0.764
Zn: 0.500 0.500 0.500
P: 0.165 0.165 0.829
P: 0.835 0.835 0.171
S: 0.168 0.168 0.330
S: 0.500 0.500 0.000
S: 0.832 0.832 0.670

Spin magnetization in μB/atom: 0.000
Calculated volume in Å³ per cell: 222
D(E_F) in states/eV per cell: 5.25
E_form (uncorrected) in kJ/mol of formula units: -1716

=====

# 4
The following is a DFT calculation (PBE) of a geometry-optimized ScZnP2S structure.

Unit cell a=4.986 b=4.986 c=4.824 alpha=90.00 beta=90.00 gamma=90.00
Fractional positions:
Sc: 0.000 0.000 0.000
Zn: 0.500 0.500 0.500
P: 0.000 0.500 0.000
P: 0.500 0.000 0.000
S: 0.000 0.000 0.500

Spin magnetization in μB/atom: 0.043
Calculated volume in Å³ per cell: 120
D(E_F) in states/eV per cell: 6.09
Polymorph energy (0 for the lowest one) in meV/atom: 72
E_form (uncorrected) in kJ/mol of formula units: 154

=====

# 5
The following is a DFT calculation (PBE) of a geometry-optimized ZrScPS2 structure.

Unit cell a=4.859 b=4.859 c=5.104 alpha=90.00 beta=90.00 gamma=90.00
Fractional positions:
Zr: 0.000 0.000 0.000
Sc: 0.500 0.500 0.500
P: 0.000 0.000 0.500
S: 0.000 0.500 0.000
S: 0.500 0.000 0.000

Spin magnetization in μB/atom: 0.000
Calculated volume in Å³ per cell: 121
D(E_F) in states/eV per cell: 1.33
Polymorph energy (0 for the lowest one) in meV/atom: 0
E_form (uncorrected) in kJ/mol of formula units: -283

=====

# 6
The following is a DFT calculation (PBE) of a geometry-optimized ZrScPS2 structure.

Unit cell a=4.711 b=4.711 c=4.964 alpha=90.00 beta=90.00 gamma=90.00
Fractional positions:
Zr: 0.000 0.000 0.000
Sc: 0.500 0.500 0.500
P: 0.500 0.500 0.000
S: 0.000 0.500 0.500
S: 0.500 0.000 0.500

Spin magnetization in μB/atom: 0.000
Calculated volume in Å³ per cell: 110
D(E_F) in states/eV per cell: 1.88
Polymorph energy (0 for the lowest one) in meV/atom: 228
E_form (uncorrected) in kJ/mol of formula units: -173

=====

# 7
The following is a DFT calculation (PBE) of a geometry-optimized PSeS structure.

Unit cell a=3.343 b=6.864 c=7.781 alpha=81.63 beta=89.95 gamma=89.29
Fractional positions:
P: 0.000 0.000 0.000
P: 0.138 0.834 0.496
Se: 0.056 0.742 0.228
Se: 0.211 0.570 0.670
S: 0.478 0.193 0.050
S: 0.583 0.034 0.515

Spin magnetization in μB/atom: 0.000
Calculated volume in Å³ per cell: 177
Polymorph energy (0 for the lowest one) in meV/atom: 57
E_form (uncorrected) in kJ/mol of formula units: 13

=====

# 8
The following is a DFT calculation (PBE) of a geometry-optimized P2SeS2 structure.

Unit cell a=4.300 b=4.300 c=5.044 alpha=90.00 beta=90.00 gamma=90.00
Fractional positions:
P: 0.000 0.000 0.000
P: 0.000 0.000 0.500
Se: 0.500 0.500 0.000
S: 0.000 0.500 0.500
S: 0.500 0.000 0.500

Spin magnetization in μB/atom: 0.000
Calculated volume in Å³ per cell: 93
D(E_F) in states/eV per cell: 2.93
Polymorph energy (0 for the lowest one) in meV/atom: 764
E_form (uncorrected) in kJ/mol of formula units: 369